A plane-wave DFT calculation with GGA-PBE was carried out for a geometry-optimized NpTcBi2O8 structure.

Results
* space group: No. 10
* ΔE_f (raw): -1705 meV/atom
* DFT total energy: -0.27927 hartree per atom

a b c (Å): 5.2743 6.6074 5.2803
angles (deg): 90.00 90.64 90.00
Fractional coordinates of all 12 atoms:
Np 0.0000 0.0000 0.0000
Tc 0.0000 0.5000 0.0000
Bi 0.5000 0.2526 0.5000
Bi 0.5000 0.7474 0.5000
O 0.1807 0.2469 0.1790
O 0.1807 0.7531 0.1790
O 0.2392 0.5000 0.7588
O 0.3051 0.0000 0.6931
O 0.6949 0.0000 0.3069
O 0.7608 0.5000 0.2412
O 0.8193 0.2469 0.8210
O 0.8193 0.7531 0.8210